Entry 1:
Material: YScTl2
Method: DFT, PBE-GGA
State: relaxed

a b c (Å): 3.5992 3.5992 28.9592
angles (deg): 90.00 90.00 120.00
Closest atoms and distances in Å follow each position.
Sites, in units of the cell vectors:
Y  0.0000  0.0000  0.0000  6 Tl 3.25-3.29, 6 Y 3.60
Y  0.3333  0.6667  0.6667  6 Tl 3.25-3.29, 6 Y 3.60
Y  0.6667  0.3333  0.3333  6 Tl 3.25-3.29, 6 Y 3.60
Sc  0.0000  0.0000  0.1686  6 Tl 3.08-3.13
Sc  0.3333  0.6667  0.8352  6 Tl 3.08-3.13
Sc  0.6667  0.3333  0.5019  6 Tl 3.08-3.13
Tl  0.0000  0.0000  0.5805  3 Sc 3.08, 3 Y 3.25
Tl  0.0000  0.0000  0.7546  3 Sc 3.13, 3 Y 3.29
Tl  0.3333  0.6667  0.2472  3 Sc 3.08, 3 Y 3.25
Tl  0.3333  0.6667  0.4212  3 Sc 3.13, 3 Y 3.29
Tl  0.6667  0.3333  0.0879  3 Sc 3.13, 3 Y 3.29
Tl  0.6667  0.3333  0.9139  3 Sc 3.08, 3 Y 3.25

SG: R3m (160)
E_form: -0.2052 eV/atom
D(E_F): 1.000 states/eV per atom
electronic total energy: -4.587 eV/atom

***

Entry 2:
Material: Na2ZrB2O6
Method: DFT, PBE-GGA
State: relaxed

a b c (Å): 5.1926 5.1926 6.3522
angles (deg): 115.14 115.14 61.13
Closest atoms and distances in Å follow each position.
Sites, in units of the cell vectors:
Na  0.1994  0.1994  0.1364  6 O 2.51-2.81
Na  0.8006  0.8006  0.8636  6 O 2.51-2.81
Zr  0.0000  0.0000  0.5000  6 O 2.07-2.13
B  0.4371  0.4371  0.7267  3 O 1.37-1.39
B  0.5629  0.5629  0.2733  3 O 1.37-1.39
O  0.2479  0.7000  0.2389  1 B 1.39
O  0.2657  0.2657  0.6568  1 B 1.37
O  0.3000  0.7521  0.7611  1 B 1.39
O  0.7000  0.2479  0.2389  1 B 1.39
O  0.7343  0.7343  0.3432  1 B 1.37
O  0.7521  0.3000  0.7611  1 B 1.39

SG: C2/m (12)
D(E_F): 0.000 states/eV per atom
E_form (uncorrected): -2555 meV/atom
electronic total energy: -7.490 eV/atom

***

Entry 3:
Material: MgZn3
Method: DFT, PBE-GGA
State: relaxed

a b c (Å): 2.9829 9.0019 4.9218
angles (deg): 90.00 90.00 90.00
Closest atoms and distances in Å follow each position.
Sites, in units of the cell vectors:
Mg  0.0000  0.0000  0.0000  10 Zn 2.80-2.93, 2 Mg 2.98
Mg  0.5000  0.5000  0.5000  10 Zn 2.80-2.93, 2 Mg 2.98
Zn  0.0000  0.2431  0.3545  9 Zn 2.76-2.98, 3 Mg 2.80-2.84
Zn  0.0000  0.5000  0.0116  8 Zn 2.76-2.98, 4 Mg 2.83-2.93
Zn  0.0000  0.7569  0.3545  9 Zn 2.76-2.98, 3 Mg 2.80-2.84
Zn  0.5000  0.0000  0.5116  8 Zn 2.76-2.98, 4 Mg 2.83-2.93
Zn  0.5000  0.2569  0.8545  9 Zn 2.76-2.98, 3 Mg 2.80-2.84
Zn  0.5000  0.7431  0.8545  9 Zn 2.76-2.98, 3 Mg 2.80-2.84

SG: Imm2 (44)
E_form: -0.0153 eV/atom
D(E_F): 0.317 states/eV per atom
electronic total energy: -1.369 eV/atom

***

Entry 4:
Material: CsICl3
Method: DFT, PBE-GGA
State: relaxed

a b c (Å): 5.8569 8.0107 9.7274
angles (deg): 90.15 100.40 90.22
Closest atoms and distances in Å follow each position.
Sites, in units of the cell vectors:
Cs  0.0000  0.0000  0.0000  8 Cl 3.54-3.77
Cs  0.3625  0.4998  0.6434  8 Cl 3.54-3.77
I  0.3932  0.4904  0.1466  2 Cl 2.52-2.54
I  0.9718  0.9896  0.4963  2 Cl 2.52-2.53
Cl  0.0814  0.7637  0.3391  1 I 2.52
Cl  0.2877  0.2637  0.3039  1 I 2.52
Cl  0.4892  0.2442  0.9483  1 I 2.88
Cl  0.4913  0.7225  0.9899  1 I 2.54
Cl  0.8694  0.2205  0.6529  1 I 2.53
Cl  0.8764  0.7427  0.6945  1 I 2.89

SG: P1 (1)
E_form (uncorrected): -860 meV/atom
electronic total energy: -2.449 eV/atom

***

Entry 5:
Material: PmNd4Pd2
Method: DFT, PBE-GGA
State: relaxed

a b c (Å): 15.7288 15.7288 15.7288
angles (deg): 14.94 14.94 14.94
Closest atoms and distances in Å follow each position.
Sites, in units of the cell vectors:
Pm  0.0000  0.0000  0.0000  6 Nd 3.74, 6 Pm 4.09
Nd  0.1986  0.1986  0.1986  3 Pd 2.90
Nd  0.3954  0.3954  0.3954  3 Pd 2.91
Nd  0.6046  0.6046  0.6046  3 Pd 2.91
Nd  0.8014  0.8014  0.8014  3 Pd 2.90
Pd  0.0985  0.0985  0.0985  6 Nd 2.90-2.91
Pd  0.9015  0.9015  0.9015  6 Nd 2.90-2.91

SG: R-3m (166)
E_form: -0.2918 eV/atom
D(E_F): 1.331 states/eV per atom
electronic total energy: -5.179 eV/atom

***

Entry 6:
Material: NdEr5Ag6
Method: DFT, PBE-GGA
State: relaxed

a b c (Å): 5.1515 7.2047 8.1563
angles (deg): 90.00 108.30 90.00
Closest atoms and distances in Å follow each position.
Sites, in units of the cell vectors:
Nd  0.0000  0.0000  0.0000  8 Ag 3.19-3.22
Er  0.0000  0.5000  0.0000  8 Ag 3.10-3.18
Er  0.3321  0.0000  0.6642  8 Ag 3.10-3.21
Er  0.3344  0.5000  0.6689  8 Ag 3.09-3.12
Er  0.6656  0.5000  0.3311  8 Ag 3.09-3.12
Er  0.6679  0.0000  0.3358  8 Ag 3.10-3.21
Ag  0.1710  0.2549  0.3417  7 Er 3.09-3.18, 1 Nd 3.22
Ag  0.1710  0.7451  0.3417  7 Er 3.09-3.18, 1 Nd 3.22
Ag  0.5000  0.2615  0.0000  6 Er 3.09-3.21, 2 Nd 3.19, 1 Ag 3.44
Ag  0.5000  0.7385  0.0000  6 Er 3.09-3.21, 2 Nd 3.19, 1 Ag 3.44
Ag  0.8290  0.2549  0.6583  7 Er 3.09-3.18, 1 Nd 3.22
Ag  0.8290  0.7451  0.6583  7 Er 3.09-3.18, 1 Nd 3.22

SG: P2/m (10)
E_form: -0.3191 eV/atom
D(E_F): 0.494 states/eV per atom
electronic total energy: -4.043 eV/atom

***

Entry 7:
Material: RuS2ICl
Method: DFT, PBE-GGA
State: relaxed

a b c (Å): 4.6695 4.6695 4.8593
angles (deg): 90.00 90.00 90.00
Closest atoms and distances in Å follow each position.
Sites, in units of the cell vectors:
Ru  0.0000  0.0000  0.0000  4 S 2.33, 2 Cl 2.43
S  0.0000  0.5000  0.0000  2 Ru 2.33
S  0.5000  0.0000  0.0000  2 Ru 2.33
I  0.5000  0.5000  0.5000  4 Cl 3.30, 8 S 3.37
Cl  0.0000  0.0000  0.5000  2 Ru 2.43

SG: P4/mmm (123)
D(E_F): 1.151 states/eV per atom
E_form (uncorrected): 277 meV/atom
electronic total energy: -3.909 eV/atom

***

Entry 8:
Material: TaSbTe2Pt
Method: DFT, PBE-GGA
State: relaxed

a b c (Å): 5.2331 5.2331 5.0822
angles (deg): 90.00 90.00 90.00
Closest atoms and distances in Å follow each position.
Sites, in units of the cell vectors:
Ta  0.0000  0.0000  0.0000  8 Te 3.65, 4 Sb 3.70
Sb  0.5000  0.5000  0.0000  2 Pt 2.54
Te  0.0000  0.5000  0.5000  2 Pt 2.62
Te  0.5000  0.0000  0.5000  2 Pt 2.62
Pt  0.5000  0.5000  0.5000  2 Sb 2.54, 4 Te 2.62

SG: P4/mmm (123)
D(E_F): 1.394 states/eV per atom
E_form (uncorrected): 1019 meV/atom
electronic total energy: -4.641 eV/atom

***

Entry 9:
Material: NaBiAs2Br
Method: DFT, PBE-GGA
State: relaxed

a b c (Å): 5.2130 5.2130 5.0830
angles (deg): 90.00 90.00 90.00
Closest atoms and distances in Å follow each position.
Sites, in units of the cell vectors:
Na  0.0000  0.0000  0.0000  2 Br 2.54, 4 As 2.61
Bi  0.5000  0.5000  0.5000  8 As 3.64, 4 Br 3.69
As  0.0000  0.5000  0.0000  2 Na 2.61
As  0.5000  0.0000  0.0000  2 Na 2.61
Br  0.0000  0.0000  0.5000  2 Na 2.54

SG: P4/mmm (123)
D(E_F): 1.118 states/eV per atom
E_form (uncorrected): 611 meV/atom
electronic total energy: -2.623 eV/atom

***

Entry 10:
Material: La2MgIrBr
Method: DFT, PBE-GGA
State: relaxed

a b c (Å): 5.5690 5.5690 5.1602
angles (deg): 90.00 90.00 90.00
Closest atoms and distances in Å follow each position.
Sites, in units of the cell vectors:
La  0.0000  0.5000  0.0000  2 Ir 2.78
La  0.5000  0.0000  0.0000  2 Ir 2.78
Mg  0.0000  0.0000  0.5000  2 Ir 2.58
Ir  0.0000  0.0000  0.0000  2 Mg 2.58, 4 La 2.78
Br  0.5000  0.5000  0.5000  8 La 3.80, 4 Mg 3.94

SG: P4/mmm (123)
D(E_F): 0.757 states/eV per atom
E_form (uncorrected): -690 meV/atom
electronic total energy: -5.086 eV/atom

***

Entry 11:
Material: KZnCo2
Method: DFT, PBE-GGA
State: relaxed

a b c (Å): 8.8712 2.8957 6.5431
angles (deg): 90.00 97.48 90.00
Closest atoms and distances in Å follow each position.
Sites, in units of the cell vectors:
K  0.0000  0.0000  0.0000  2 K 2.90
K  0.5000  0.5000  0.0000  2 K 2.90
Zn  0.0000  0.5000  0.5000  6 Co 2.53-2.64
Zn  0.5000  0.0000  0.5000  6 Co 2.53-2.64
Co  0.2279  0.0000  0.6212  2 Co 2.22
Co  0.2721  0.5000  0.3788  2 Co 2.22
Co  0.7279  0.5000  0.6212  2 Co 2.22
Co  0.7721  0.0000  0.3788  2 Co 2.22

SG: C2/m (12)
E_form: 0.5588 eV/atom
D(E_F): 1.191 states/eV per atom
electronic total energy: -3.587 eV/atom

***

Entry 12:
Material: Zr2ScNi
Method: DFT, PBE-GGA
State: relaxed

a b c (Å): 3.4683 4.5969 4.9152
angles (deg): 90.00 90.00 90.00
Closest atoms and distances in Å follow each position.
Sites, in units of the cell vectors:
Zr  0.0000  0.0000  0.0000  4 Zr 2.88, 4 Ni 3.01
Zr  0.5000  0.5000  0.0000  4 Zr 2.88, 4 Sc 3.01
Sc  0.0000  0.5000  0.5000  4 Ni 2.88, 4 Zr 3.01
Ni  0.5000  0.0000  0.5000  4 Sc 2.88, 4 Zr 3.01

SG: Pmmm (47)
E_form: 0.0028 eV/atom
D(E_F): 1.495 states/eV per atom
electronic total energy: -7.299 eV/atom